# HgPbS2O8 PBE relaxed
data_HgPbS2O8
_chemical_formula_sum 'Hg1 Pb1 S2 O8'
_symmetry_space_group_name_H-M 'P 1'
_symmetry_Int_Tables_number 1
_cell_length_a 5.0458
_cell_length_b 5.0458
_cell_length_c 8.0047
_cell_angle_alpha 71.63
_cell_angle_beta 71.63
_cell_angle_gamma 60.00
loop_
_symmetry_equiv_pos_as_xyz
'x,y,z'
loop_
_atom_site_label
_atom_site_fract_x
_atom_site_fract_y
_atom_site_fract_z
O1 0.8201 0.8201 0.5398
O2 0.0257 0.4642 0.8038
O3 0.2937 0.9743 0.1962
O4 0.4642 0.7063 0.8038
O5 0.1799 0.1799 0.4602
O6 0.7063 0.0257 0.8038
O7 0.5358 0.2937 0.1962
O8 0.9743 0.5358 0.1962
Hg1 0.0000 0.0000 0.0000
Pb1 0.5000 0.5000 0.5000
S1 0.7532 0.7532 0.7403
S2 0.2468 0.2468 0.2597
# VASP energy in eV/atom: -5.53
# Space-group type: No. 148
# Formation energy from raw total energies in kJ per mole of atoms: -116